1.
# PrDyTm2Sc (PBE, relaxed)
# ΔH_f (0 K), eV/f.u.: 0.1
# SG: P2_1/m, No. 11
data_PrDyTm2Sc
_chemical_formula_sum 'Pr2 Dy2 Tm4 Sc2'
_symmetry_space_group_name_H-M 'P 1'
_symmetry_Int_Tables_number 1
_cell_length_a 5.5556
_cell_length_b 9.4250
_cell_length_c 6.1936
_cell_angle_alpha 109.09
_cell_angle_beta 90.00
_cell_angle_gamma 90.00
loop_
_symmetry_equiv_pos_as_xyz
'x,y,z'
loop_
_atom_site_label
_atom_site_fract_x
_atom_site_fract_y
_atom_site_fract_z
Pr1 0.2500 0.6936 0.2658
Pr2 0.7500 0.3064 0.7342
Dy1 0.2500 0.8992 0.8664
Dy2 0.7500 0.1008 0.1336
Tm1 0.7500 0.8985 0.5350
Tm2 0.7500 0.6954 0.9284
Tm3 0.2500 0.1015 0.4650
Tm4 0.2500 0.3046 0.0716
Sc1 0.2500 0.5009 0.6556
Sc2 0.7500 0.4991 0.3444

***

2.
# Co2Si2I (PBE, relaxed)
# SG: I4/mmm, No. 139
# Formation energy from raw total energies, kJ/mol of formula units: 4
# ΔE to the lowest computed polymorph, meV per atom: 0.0
data_Co2Si2I
_chemical_formula_sum 'Co2 Si2 I1'
_symmetry_space_group_name_H-M 'P 1'
_symmetry_Int_Tables_number 1
_cell_length_a 3.6066
_cell_length_b 3.6066
_cell_length_c 6.5682
_cell_angle_alpha 74.06
_cell_angle_beta 74.06
_cell_angle_gamma 90.00
loop_
_symmetry_equiv_pos_as_xyz
'x,y,z'
loop_
_atom_site_label
_atom_site_fract_x
_atom_site_fract_y
_atom_site_fract_z
I1 0.0000 0.0000 0.0000
Si1 0.7500 0.2500 0.5000
Si2 0.2500 0.7500 0.5000
Co1 0.3664 0.3664 0.2672
Co2 0.6336 0.6336 0.7328

***

3.
# Na2MgSb3Pt4 (PBE, relaxed)
# SG: P-4m2, No. 115
# Formation energy from raw total energies, kJ/mol of formula units: -495
data_Na2MgSb3Pt4
_chemical_formula_sum 'Na2 Mg1 Sb3 Pt4'
_symmetry_space_group_name_H-M 'P 1'
_symmetry_Int_Tables_number 1
_cell_length_a 4.5680
_cell_length_b 4.5680
_cell_length_c 10.7443
_cell_angle_alpha 90.00
_cell_angle_beta 90.00
_cell_angle_gamma 90.00
loop_
_symmetry_equiv_pos_as_xyz
'x,y,z'
loop_
_atom_site_label
_atom_site_fract_x
_atom_site_fract_y
_atom_site_fract_z
Na1 0.5000 0.0000 0.2391
Na2 0.0000 0.5000 0.7609
Mg1 0.5000 0.5000 0.5000
Sb1 0.0000 0.0000 0.5000
Sb2 0.5000 0.0000 0.8695
Sb3 0.0000 0.5000 0.1305
Pt1 0.5000 0.5000 0.0000
Pt2 0.0000 0.0000 0.0000
Pt3 0.5000 0.0000 0.6274
Pt4 0.0000 0.5000 0.3726

***

For each record above, in turn, the calculated density of states at the Fermi level values are 16.1 3.1 5.1 states/eV/cell.